(1)
! Ba3Mn2Cl2O4 | the Alexandria database | PBE with a Hubbard U | relaxed; values from VASP
! Total magnetization ... 9.95 μB/f.u.
! D(E_F) ... 0.3 states/eV/f.u.
! V ... 20.10 Å³/atom
&SYSTEM
  ibrav = 0, nat = 11, ntyp = 4
/
ATOMIC_SPECIES
Ba 137.33 Ba.upf
Mn 54.94 Mn.upf
Cl 35.45 Cl.upf
O 16.00 O.upf
CELL_PARAMETERS angstrom
-2.159 2.159 11.857
2.159 -2.159 11.857
2.159 2.159 -11.857
ATOMIC_POSITIONS crystal
Ba 0.000 0.000 0.000
Ba 0.153 0.153 0.000
Ba 0.847 0.847 0.000
Mn 0.417 0.417 0.000
Mn 0.583 0.583 0.000
Cl 0.299 0.299 0.000
Cl 0.701 0.701 0.000
O 0.080 0.580 0.500
O 0.420 0.920 0.500
O 0.580 0.080 0.500
O 0.920 0.420 0.500


(2)
! Ba2MnSi2ClO7 | the Alexandria database | PBE with a Hubbard U | relaxed; values from VASP
! Total magnetization ... 3.96 μB/f.u.
! V ... 15.72 Å³/atom
&SYSTEM
  ibrav = 0, nat = 26, ntyp = 5
/
ATOMIC_SPECIES
Ba 137.33 Ba.upf
Mn 54.94 Mn.upf
Si 28.09 Si.upf
Cl 35.45 Cl.upf
O 16.00 O.upf
CELL_PARAMETERS angstrom
8.617 0.000 0.000
0.000 8.617 0.000
0.000 0.000 5.504
ATOMIC_POSITIONS crystal
Ba 0.170 0.330 0.000
Ba 0.330 0.830 0.000
Ba 0.670 0.170 0.000
Ba 0.830 0.670 0.000
Mn 0.000 0.000 0.616
Mn 0.500 0.500 0.616
Si 0.129 0.629 0.522
Si 0.371 0.129 0.522
Si 0.629 0.871 0.522
Si 0.871 0.371 0.522
Cl 0.000 0.000 0.150
Cl 0.500 0.500 0.150
O 0.000 0.500 0.631
O 0.079 0.792 0.660
O 0.130 0.630 0.230
O 0.208 0.079 0.660
O 0.292 0.579 0.660
O 0.370 0.130 0.230
O 0.421 0.292 0.660
O 0.500 0.000 0.631
O 0.579 0.708 0.660
O 0.630 0.870 0.230
O 0.708 0.421 0.660
O 0.792 0.921 0.660
O 0.870 0.370 0.230
O 0.921 0.208 0.660


Looking at E_tot for the records above, in order, we have -68.21, -186.32 eV for the cell shown.